No. 1
A relaxed structure of Pr2SmY3S6. Source: the Alexandria database, functional PBE.

Lattice parameters (Å, degrees): 17.468 3.965 8.069 90.00 104.26 90.00
Space group C2/m (No. 12)
Inequivalent atoms, fractional coordinates:
Pr  0.167  0.000  0.334
Sm  0.000  0.500  0.000
Y  0.000  0.500  0.500
Y  0.168  0.000  0.833
S  0.004  0.000  0.746
S  0.163  0.500  0.593
S  0.168  0.500  0.072

Output
* calculated density: 5.5 Mg/m³
* formation energy without anion corrections: -2013 meV per atom
* calculated total energy: -6.882 eV/atom

=====

No. 2
A relaxed structure of Al2CrP2. Source: the Alexandria database, functional PBE.

Lattice parameters (Å, degrees): 3.197 3.197 15.446 90.00 90.00 90.00
Space group I4/mmm (No. 139)
Inequivalent atoms, fractional coordinates:
Al  0.000  0.000  0.096
Cr  0.000  0.000  0.500
P  0.000  0.500  0.250

Output
* calculated density: 3.5 Mg/m³
* formation energy from the elements: 0.274 eV/atom
* calculated total energy: -5.312 eV/atom
* offset from the most stable computed form: 79 meV/atom

=====

No. 3
A relaxed structure of Pm7Tm3Sc. Source: the Alexandria database, functional PBE.

Lattice parameters (Å, degrees): 7.041 18.364 11.229 90.00 90.10 90.00
Space group C2/m (No. 12)
Inequivalent atoms, fractional coordinates:
Pm  0.234  0.000  0.250
Pm  0.241  0.087  0.750
Pm  0.246  0.161  0.030
Pm  0.246  0.161  0.470
Tm  0.000  0.253  0.250
Tm  0.000  0.500  0.000
Tm  0.000  0.500  0.500
Sc  0.000  0.000  0.000
Sc  0.000  0.000  0.500

Output
* calculated density: 7.2 Mg/m³
* formation energy from the elements: 0.128 eV/atom
* calculated total energy: -4.690 eV/atom
* offset from the most stable computed form: 0 meV/atom